First-principles (GGA-PBE) data for a geometry-optimized PmGa12Pt4 structure, as listed in Alexandria via LeMat-Bulk.

```
data_PmGa12Pt4
_space_group_name_H-M_alt 'I m -3'
_space_group_IT_number 204
_space_group_name_Hall '-I 2 2 3'
_cell_length_a 8.834
_cell_length_b 8.834
_cell_length_c 8.834
_cell_angle_alpha 90.00
_cell_angle_beta 90.00
_cell_angle_gamma 90.00
loop_
_atom_site_label
_atom_site_type_symbol
_atom_site_fract_x
_atom_site_fract_y
_atom_site_fract_z
Pm1 Pm 0.000 0.000 0.000
Ga1 Ga 0.000 0.347 0.154
Pt1 Pt 0.250 0.250 0.250
```

Computed properties:
Crystal system = cubic
DFT formation energy = -35 kJ per mole of atoms